# 1
This record from Alexandria describes an optimized crystal structure of NbHgO2F. The functional is PBEsol.

## Properties
The calculation puts the energy relative to the elements, uncorrected at -1736 meV per atom. The magnetic moment is 0.0 μB/f.u.

a b c (Å): 3.9943 3.9943 4.2952
angles (deg): 90.00 90.00 90.00
Last column: nearest neighbours and their distance in Å.
Space group P4/mmm (No. 123)
Asymmetric unit:
Nb  0.0000  0.0000  0.0000  4 O 2.00, 2 F 2.15
Hg  0.5000  0.5000  0.5000  4 F 2.82, 8 O 2.93
O  0.0000  0.5000  0.0000  2 Nb 2.00
F  0.0000  0.0000  0.5000  2 Nb 2.15


# 2
This record from Alexandria describes an optimized crystal structure of Zn2GaPt2. The functional is PBEsol.

## Properties
The magnetic moment is 0.0 μB/f.u. The value obtained for the calculated formation energy is -441 meV/atom.

a b c (Å): 6.6565 6.6565 3.4555
angles (deg): 90.00 90.00 90.00
Last column: nearest neighbours and their distance in Å.
Space group P4/mbm (No. 127)
Asymmetric unit:
Zn  0.1450  0.3550  0.0000  6 Pt 2.56-2.64, 1 Zn 2.73
Ga  0.0000  0.0000  0.5000  4 Pt 2.52
Pt  0.1545  0.6545  0.5000  2 Ga 2.52, 6 Zn 2.56-2.64


# 3
This record from Alexandria describes an optimized crystal structure of KInPb4. The functional is PBEsol.

## Properties
The magnetic moment is 0.0 μB/f.u. The value obtained for the calculated formation energy is -5 meV/atom.

a b c (Å): 9.1556 9.1556 9.1556
angles (deg): 90.00 90.00 90.00
Last column: nearest neighbours and their distance in Å.
Space group F-43m (No. 216)
Asymmetric unit:
K  0.0000  0.0000  0.0000  12 Pb 3.80, 4 In 3.96
In  0.2500  0.2500  0.7500  12 Pb 3.80, 4 K 3.96
Pb  0.1251  0.1251  0.3749  6 Pb 3.23-3.24


# 4
This record from Alexandria describes an optimized crystal structure of CrMoP2. The functional is PBEsol.

## Properties
The magnetic moment is 0.0 μB/f.u. The value obtained for the calculated formation energy is -604 meV/atom.

a b c (Å): 3.0965 3.1195 10.8226
angles (deg): 90.00 90.00 90.00
Last column: nearest neighbours and their distance in Å.
Space group Imm2 (No. 44)
Asymmetric unit:
Cr  0.0000  0.0000  0.0000  6 P 2.32-2.35
Mo  0.0000  0.5000  0.7485  6 P 2.41-2.43
P  0.0000  0.0000  0.5761  4 Cr 2.35, 2 Mo 2.43
P  0.0000  0.5000  0.3399  2 Cr 2.32, 4 Mo 2.41


# 5
This record from Alexandria describes an optimized crystal structure of Rb3PbCl. The functional is PBEsol.

## Properties
The calculation puts the energy relative to the elements, uncorrected at -651 meV per atom. The magnetic moment is 2.0 μB/f.u.

a b c (Å): 6.1903 6.1903 6.1903
angles (deg): 90.00 90.00 90.00
Last column: nearest neighbours and their distance in Å.
Space group Pm-3m (No. 221)
Asymmetric unit:
Rb  0.0000  0.0000  0.5000  2 Cl 3.10
Pb  0.5000  0.5000  0.5000  12 Rb 4.38
Cl  0.0000  0.0000  0.0000  6 Rb 3.10


# 6
This record from Alexandria describes an optimized crystal structure of In2SiAu. The functional is PBEsol.

## Properties
The calculation puts the energy relative to the elements, uncorrected at -6 meV per atom. The magnetic moment is 0.0 μB/f.u.

a b c (Å): 4.8967 4.3779 4.9246
angles (deg): 90.00 119.77 90.00
Last column: nearest neighbours and their distance in Å.
Space group Pm (No. 6)
Asymmetric unit:
In  0.0000  0.0000  0.0000  3 Si 2.75-3.02, 2 Au 2.89
In  0.4228  0.5000  0.8447  3 Au 2.74-3.05, 2 Si 2.91
Si  0.6463  0.0000  0.2934  2 Au 2.46, 2 In 2.75
Au  0.7797  0.5000  0.5581  2 Si 2.46, 2 In 2.74


# 7
This record from Alexandria describes an optimized crystal structure of AlSi4Br. The functional is PBEsol.

## Properties
The calculation puts the energy relative to the elements, uncorrected at 443 meV per atom. The magnetic moment is 0.0 μB/f.u.

a b c (Å): 7.4022 7.4022 7.4022
angles (deg): 90.00 90.00 90.00
Last column: nearest neighbours and their distance in Å.
Space group F-43m (No. 216)
Asymmetric unit:
Al  0.0000  0.0000  0.0000  12 Si 3.07, 4 Br 3.21
Si  0.1246  0.1246  0.3754  6 Si 2.61-2.63
Br  0.2500  0.2500  0.7500  12 Si 3.07, 4 Al 3.21


# 8
This record from Alexandria describes an optimized crystal structure of FeRuSe2. The functional is PBEsol.

## Properties
The calculation puts the energy relative to the elements, uncorrected at -25 meV per atom. The magnetic moment is 2.8 μB/f.u.

a b c (Å): 3.4962 3.6944 11.6538
angles (deg): 90.00 90.00 90.00
Last column: nearest neighbours and their distance in Å.
Space group Immm (No. 71)
Asymmetric unit:
Fe  0.0000  0.0000  0.0000  4 Se 2.41, 4 Ru 2.54
Ru  0.0000  0.0000  0.5000  4 Se 2.49, 4 Fe 2.54
Se  0.0000  0.5000  0.3573  2 Fe 2.41, 2 Ru 2.49